Entry i
The following is a GGA-PBE calculation of a geometry-optimized Pt2W2N structure, from Alexandria.

Computed properties:
density of states at the Fermi level: 4.086 states/eV/f.u.
symmetry: No. 127
density: 16.76 Mg/m³

```
Pt2W2N
1.0
-3.9692 4.4048 1.2627
-3.9973 -4.1452 1.8947
1.5378 0.2800 3.8570
W N Pt
4 2 4
direct
0.6493 0.8507 0.5000
0.3507 0.1493 0.5000
0.1493 0.6493 0.5000
0.8507 0.3507 0.5000
0.5000 0.5000 0.0000
0.0000 0.0000 0.0000
0.8448 0.6552 0.0000
0.3448 0.8448 0.0000
0.1552 0.3448 0.0000
0.6552 0.1552 0.0000
```

Entry ii
The following is a GGA-PBE calculation of a geometry-optimized Pt2W2N structure, from Alexandria.

Computed properties:
density of states at the Fermi level: 3.723 states/eV/f.u.
symmetry: No. 139
density: 14.97 Mg/m³

```
Pt2W2N
1.0
3.5965 0.0000 0.0000
0.0000 3.5965 0.0000
1.7982 1.7982 6.6182
N Pt W
1 2 2
direct
0.0000 0.0000 0.0000
0.4005 0.4005 0.1989
0.5995 0.5995 0.8011
0.7500 0.2500 0.5000
0.2500 0.7500 0.5000
```

According to the calculations, the structures order from most to least stable as entry i, entry ii.

Entry i
The following is a GGA-PBE calculation of a geometry-optimized Zr2Pt2N structure, from Alexandria.

Computed properties:
density of states at the Fermi level: 4.422 states/eV/f.u.
symmetry: No. 139
density: 10.70 Mg/m³

```
Zr2Pt2N
1.0
3.5539 0.0000 0.0000
0.0000 3.5539 0.0000
1.7769 1.7769 7.2079
Pt Zr N
2 2 1
direct
0.2500 0.7500 0.5000
0.7500 0.2500 0.5000
0.3997 0.3997 0.2005
0.6003 0.6003 0.7995
0.0000 0.0000 0.0000
```

Entry ii
The following is a GGA-PBE calculation of a geometry-optimized Zr2Pt2N structure, from Alexandria.

Computed properties:
density of states at the Fermi level: 2.657 states/eV/f.u.
symmetry: No. 139
density: 9.07 Mg/m³

```
Zr2Pt2N
1.0
-2.7374 2.9101 2.3739
-2.2742 -3.6223 1.8180
0.6925 -0.4532 5.9031
N Pt Zr
1 2 2
direct
0.0000 0.0000 0.0000
0.3752 0.3752 0.2496
0.6248 0.6248 0.7504
0.7500 0.2500 0.5000
0.2500 0.7500 0.5000
```

According to the calculations, the structures order from most to least stable as entry i, entry ii.

Entry i
The following is a GGA-PBE calculation of a geometry-optimized Pu4N5 structure, from Alexandria.

Computed properties:
density of states at the Fermi level: 22.860 states/eV/f.u.
symmetry: No. 87
density: 12.18 Mg/m³

```
Pu4N5
1.0
0.5879 -2.7424 1.9079
-3.3542 -4.9373 -3.0478
5.5349 -2.7296 -2.6135
N Pu
5 4
direct
0.0000 0.0000 0.0000
0.6094 0.6497 0.1316
0.2591 0.1316 0.3503
0.3906 0.3503 0.8684
0.7409 0.8684 0.6497
0.9214 0.8473 0.3099
0.0786 0.1527 0.6901
0.7687 0.3099 0.1527
0.2313 0.6901 0.8473
```

Entry ii
The following is a GGA-PBE calculation of a geometry-optimized Pu4N5 structure, from Alexandria.

Computed properties:
density of states at the Fermi level: 10.890 states/eV/f.u.
symmetry: No. 12
density: 14.36 Mg/m³

```
Pu4N5
1.0
-1.0948 1.6521 -2.4830
-6.2107 -1.8149 -0.3610
-3.7147 4.5346 2.7633
N Pu
5 4
direct
0.0000 0.6667 0.3333
0.3801 0.4016 0.0683
0.6199 0.9317 0.5984
0.0000 0.9281 0.0719
0.0000 0.4053 0.5947
0.6560 0.2784 0.4008
0.6560 0.7341 0.9450
0.3440 0.0550 0.2659
0.3440 0.5992 0.7216
```

According to the calculations, the structures order from most to least stable as entry i, entry ii.

Entry i
The following is a GGA-PBE calculation of a geometry-optimized Pu2ReN4 structure, from Alexandria.

Computed properties:
density of states at the Fermi level: 12.401 states/eV/f.u.
symmetry: No. 11
density: 11.39 Mg/m³

```
Pu2ReN4
1.0
5.9358 0.0000 0.0344
0.0000 5.6881 0.0000
-2.1345 0.0000 6.2950
Re Pu N
2 4 8
direct
0.2408 0.7500 0.1931
0.7592 0.2500 0.8069
0.7814 0.7500 0.5688
0.3062 0.2500 0.9510
0.2186 0.2500 0.4312
0.6938 0.7500 0.0490
0.9529 0.2500 0.6334
0.0458 0.7500 0.9153
0.4586 0.9990 0.2443
0.5414 0.4990 0.7557
0.9542 0.2500 0.0847
0.0471 0.7500 0.3666
0.4586 0.5010 0.2443
0.5414 0.0010 0.7557
```

Entry ii
The following is a GGA-PBE calculation of a geometry-optimized Pu2ReN4 structure, from Alexandria.

Computed properties:
density of states at the Fermi level: 11.360 states/eV/f.u.
symmetry: No. 64
density: 13.38 Mg/m³

```
Pu2ReN4
1.0
5.0041 0.0002 -2.0406
-0.0002 5.6358 0.0001
-0.2546 -0.0001 6.5315
Pu N Re
4 8 2
direct
0.6436 0.0246 0.2872
0.3564 0.9754 0.7128
0.1435 0.4754 0.2872
0.8565 0.5246 0.7128
0.2654 0.7500 0.0308
0.1784 0.0647 0.3570
0.7346 0.2500 0.9692
0.7654 0.7500 0.0307
0.3214 0.5647 0.6430
0.8216 0.9353 0.6430
0.2346 0.2500 0.9693
0.6786 0.4353 0.3570
0.0000 0.0000 0.0000
0.5000 0.5000 0.0000
```

According to the calculations, the structures order from most to least stable as entry ii, entry i.

Entry i
The following is a GGA-PBE calculation of a geometry-optimized Pu2S2N structure, from Alexandria.

Computed properties:
density of states at the Fermi level: 11.843 states/eV/f.u.
symmetry: No. 72
density: 9.71 Mg/m³

```
Pu2S2N
1.0
5.1176 0.0000 -2.2005
-1.2269 5.6507 -2.8534
-0.0794 -0.2288 6.8666
S Pu N
4 4 2
direct
0.8550 0.7047 0.7100
0.6450 0.9947 0.2900
0.1450 0.2953 0.2900
0.3550 0.0053 0.7100
0.6031 0.3895 0.2062
0.3969 0.6105 0.7938
0.8969 0.1833 0.7938
0.1031 0.8167 0.2062
0.2500 0.5000 0.0000
0.7500 0.5000 0.0000
```

Entry ii
The following is a GGA-PBE calculation of a geometry-optimized Pu2S2N structure, from Alexandria.

Computed properties:
density of states at the Fermi level: 12.109 states/eV/f.u.
symmetry: No. 36
density: 9.70 Mg/m³

```
Pu2S2N
1.0
3.8473 0.0000 0.0000
0.0000 6.9101 0.0000
-1.9236 0.0000 7.2876
S Pu N
4 4 2
direct
0.7970 0.4015 0.5939
0.9545 0.7192 0.9090
0.0455 0.2192 0.0910
0.2030 0.9015 0.4061
0.5525 0.9142 0.1051
0.4475 0.4142 0.8949
0.1637 0.5160 0.3275
0.8363 0.0160 0.6725
0.4047 0.0834 0.8093
0.5953 0.5834 0.1907
```

According to the calculations, the structures order from most to least stable as entry ii, entry i.

Entry i
The following is a GGA-PBE calculation of a geometry-optimized Pu3SbN3 structure, from Alexandria.

Computed properties:
density of states at the Fermi level: 17.254 states/eV/f.u.
symmetry: No. 148
density: 10.39 Mg/m³

```
Pu3SbN3
1.0
6.5889 0.0000 0.0000
3.2945 5.7062 0.0000
3.2945 1.9021 7.6166
Pu N Sb
6 6 2
direct
0.2335 0.5513 0.3201
0.4487 0.1048 0.6799
0.5513 0.8952 0.3201
0.8952 0.2335 0.3201
0.1048 0.7665 0.6799
0.7665 0.4487 0.6799
0.1322 0.4523 0.6155
0.4523 0.8000 0.6155
0.8000 0.1322 0.6155
0.5477 0.2000 0.3845
0.8678 0.5477 0.3845
0.2000 0.8678 0.3845
0.6664 0.6664 0.0007
0.3336 0.3336 0.9993
```

Entry ii
The following is a GGA-PBE calculation of a geometry-optimized Pu3SbN3 structure, from Alexandria.

Computed properties:
density of states at the Fermi level: 18.567 states/eV/f.u.
symmetry: No. 176
density: 11.02 Mg/m³

```
Pu3SbN3
1.0
3.9645 0.0000 0.0000
0.0000 7.6804 -4.4343
0.0000 0.0000 8.8686
Pu Sb N
6 2 6
direct
0.2500 0.6933 0.0671
0.7500 0.0671 0.3739
0.7500 0.3067 0.9329
0.2500 0.3739 0.3067
0.7500 0.6261 0.6933
0.2500 0.9329 0.6261
0.7500 0.6667 0.3333
0.2500 0.3333 0.6667
0.2500 0.9655 0.2663
0.7500 0.0345 0.7337
0.7500 0.6992 0.9655
0.7500 0.2663 0.3008
0.2500 0.3008 0.0345
0.2500 0.7337 0.6992
```

According to the calculations, the structures order from most to least stable as entry i, entry ii.

Entry i
The following is a GGA-PBE calculation of a geometry-optimized PuSbN structure, from Alexandria.

Computed properties:
density of states at the Fermi level: 6.663 states/eV/f.u.
symmetry: No. 11
density: 9.95 Mg/m³

```
PuSbN
1.0
-3.3234 -2.0101 -0.7885
0.7686 -2.4508 3.0048
-5.7509 3.8544 4.6164
Pu Sb N
2 2 2
direct
0.2488 0.6336 0.2124
0.8784 0.1335 0.9483
0.6299 0.1335 0.4524
0.4973 0.6335 0.7084
0.3154 0.1335 0.0767
0.8118 0.6335 0.0841
```

Entry ii
The following is a GGA-PBE calculation of a geometry-optimized PuSbN structure, from Alexandria.

Computed properties:
density of states at the Fermi level: 6.554 states/eV/f.u.
symmetry: No. 187
density: 10.06 Mg/m³

```
PuSbN
1.0
5.2767 0.0000 0.0000
0.0000 3.7041 0.0000
0.0000 -1.8521 3.2079
Pu N Sb
1 1 1
direct
0.1667 0.0000 0.0000
0.1666 0.3333 0.6667
0.6667 0.6667 0.3333
```

Entry iii
The following is a GGA-PBE calculation of a geometry-optimized PuSbN structure, from Alexandria.

Computed properties:
density of states at the Fermi level: 6.554 states/eV/f.u.
symmetry: No. 107
density: 10.18 Mg/m³

```
PuSbN
1.0
3.1812 0.0000 0.0000
0.0000 3.1812 0.0000
-1.5906 -1.5906 6.1242
Pu Sb N
1 1 1
direct
0.7291 0.7291 0.4582
0.0028 0.0028 0.0057
0.2681 0.2681 0.5361
```

According to the calculations, the structures order from most to least stable as entry i, entry ii, entry iii.

Entry i
The following is a GGA-PBE calculation of a geometry-optimized PuSeN structure, from Alexandria.

Computed properties:
density of states at the Fermi level: 6.457 states/eV/f.u.
symmetry: No. 107
density: 9.63 Mg/m³

```
PuSeN
1.0
3.4428 0.0000 0.0000
0.0000 3.4428 0.0000
-1.7214 -1.7214 4.9044
N Se Pu
1 1 1
direct
0.2478 0.2478 0.4955
0.0369 0.0369 0.0738
0.7154 0.7154 0.4307
```

Entry ii
The following is a GGA-PBE calculation of a geometry-optimized PuSeN structure, from Alexandria.

Computed properties:
density of states at the Fermi level: 7.154 states/eV/f.u.
symmetry: No. 129
density: 10.98 Mg/m³

```
PuSeN
1.0
3.8102 0.0000 0.0000
0.0000 3.8102 0.0000
0.0000 0.0000 7.0212
Pu N Se
2 2 2
direct
0.7500 0.7500 0.8334
0.2500 0.2500 0.1666
0.2500 0.7500 0.0000
0.7500 0.2500 0.0000
0.7500 0.7500 0.3701
0.2500 0.2500 0.6299
```

Entry iii
The following is a GGA-PBE calculation of a geometry-optimized PuSeN structure, from Alexandria.

Computed properties:
density of states at the Fermi level: 6.029 states/eV/f.u.
symmetry: No. 187
density: 10.69 Mg/m³

```
PuSeN
1.0
4.2646 0.0000 0.0000
0.0000 3.7652 0.0000
0.0000 -1.8826 3.2608
N Se Pu
1 1 1
direct
0.1668 0.0000 0.0000
0.6667 0.3333 0.6667
0.1665 0.6667 0.3333
```

According to the calculations, the structures order from most to least stable as entry ii, entry iii, entry i.

Entry i
The following is a GGA-PBE calculation of a geometry-optimized SrPu2N3 structure, from Alexandria.

Computed properties:
density of states at the Fermi level: 14.226 states/eV/f.u.
symmetry: No. 63
density: 7.62 Mg/m³

```
SrPu2N3
1.0
3.6404 0.0000 0.0000
-1.8202 9.0444 0.0001
0.0000 0.0001 8.1757
N Sr Pu
6 2 4
direct
0.9506 0.9013 0.7500
0.5791 0.1582 0.5014
0.4209 0.8418 0.4986
0.4209 0.8418 0.0014
0.5791 0.1582 0.9986
0.0494 0.0987 0.2500
0.3427 0.6855 0.2500
0.6573 0.3145 0.7500
0.0000 0.0000 0.5000
0.0000 0.0000 0.0000
0.6207 0.2414 0.2500
0.3793 0.7586 0.7500
```

Entry ii
The following is a GGA-PBE calculation of a geometry-optimized SrPu2N3 structure, from Alexandria.

Computed properties:
density of states at the Fermi level: 14.504 states/eV/f.u.
symmetry: No. 11
density: 10.68 Mg/m³

```
SrPu2N3
1.0
3.5050 0.0000 0.0000
0.0000 6.0028 -1.3340
0.0000 -0.0718 9.1425
Sr N Pu
2 6 4
direct
0.2500 0.5279 0.8287
0.7500 0.4721 0.1713
0.2500 0.1203 0.6348
0.7500 0.8797 0.3652
0.7500 0.8051 0.0109
0.2500 0.3589 0.3644
0.2500 0.1949 0.9891
0.7500 0.6411 0.6356
0.2500 0.9777 0.1620
0.7500 0.0223 0.8380
0.7500 0.2476 0.5006
0.2500 0.7524 0.4994
```

According to the calculations, the structures order from most to least stable as entry ii, entry i.

Entry i
The following is a GGA-PBE calculation of a geometry-optimized Sr2PuN3 structure, from Alexandria.

Computed properties:
density of states at the Fermi level: 5.332 states/eV/f.u.
symmetry: No. 167
density: 7.70 Mg/m³

```
Sr2PuN3
1.0
-4.9536 3.5861 -0.3518
-5.4527 -2.1226 1.8123
-2.3844 2.5421 6.1549
N Sr Pu
6 4 2
direct
0.8414 0.6586 0.2500
0.2500 0.8414 0.2500
0.1586 0.3414 0.7500
0.6586 0.2500 0.2500
0.7500 0.1586 0.7500
0.3414 0.7500 0.7500
0.6735 0.6735 0.9794
0.1735 0.1735 0.4794
0.8265 0.8265 0.5206
0.3265 0.3265 0.0206
0.0000 0.0000 0.0000
0.5000 0.5000 0.5000
```

Entry ii
The following is a GGA-PBE calculation of a geometry-optimized Sr2PuN3 structure, from Alexandria.

Computed properties:
density of states at the Fermi level: 5.261 states/eV/f.u.
symmetry: No. 71
density: 7.53 Mg/m³

```
Sr2PuN3
1.0
-1.4787 0.7623 3.1600
3.4451 -2.9444 2.3223
2.4234 5.4960 -2.2098
Sr Pu N
2 1 3
direct
0.6639 0.1639 0.3277
0.3361 0.8361 0.6723
0.0000 0.5000 0.0000
0.6239 0.6239 0.2478
0.0000 0.0000 0.0000
0.3761 0.3761 0.7522
```

According to the calculations, the structures order from most to least stable as entry ii, entry i.